Computed, not measured: a relaxed MnPNO2 crystal at the PBE+U level of DFT.

POSCAR file:
```
MnPNO2
1.0
-0.3111 1.2445 3.3468
-1.0884 -3.2327 1.1009
3.2881 -0.8903 0.6367
N Mn O P
1 1 2 1
Cartesian
1.6441 -0.4451 0.3183 N
0.9443 -1.4392 2.5422 Mn
-0.1555 0.6223 1.6734 O
-0.5442 -1.6163 0.5505 O
0.0000 0.0000 0.0000 P
```

## Properties
symmetry = P4/mmm, No. 123
total DFT energy (no corrections) = -34.2 eV for the cell shown